1.
# Tb5Pm12Dy2 (GGA-PBE, optimized geometry)
# E_form   0.1199 eV per atom
# N(E_F)   26.3 states/eV/cell
# Polymorph energy (0 for the lowest one)   0.000 eV/atom
# Calculated total energy   -87.08 eV for the cell shown
# SG   C2/m
data_Tb5Pm12Dy2
_symmetry_space_group_name_H-M 'P 1'
_symmetry_Int_Tables_number 1
_cell_length_a 9.286
_cell_length_b 9.195
_cell_length_c 8.756
_cell_angle_alpha 92.06
_cell_angle_beta 90.00
_cell_angle_gamma 120.33
loop_
_symmetry_equiv_pos_as_xyz
'x,y,z'
loop_
_atom_site_label
_atom_site_type_symbol
_atom_site_fract_x
_atom_site_fract_y
_atom_site_fract_z
Pm1 Pm 0.078 0.155 0.881
Pm2 Pm 0.566 0.740 0.321
Pm3 Pm 0.669 0.700 0.762
Pm4 Pm 0.441 0.881 0.658
Pm5 Pm 0.969 0.300 0.238
Pm6 Pm 0.559 0.119 0.342
Pm7 Pm 0.174 0.740 0.321
Pm8 Pm 0.331 0.300 0.238
Pm9 Pm 0.434 0.260 0.679
Pm10 Pm 0.922 0.845 0.119
Pm11 Pm 0.031 0.700 0.762
Pm12 Pm 0.826 0.260 0.679
Tb1 Tb 0.769 0.537 0.432
Tb2 Tb 0.231 0.463 0.568
Tb3 Tb 0.295 0.590 0.970
Tb4 Tb 0.705 0.410 0.030
Tb5 Tb 0.000 0.000 0.500
Dy1 Dy 0.329 0.000 0.000
Dy2 Dy 0.671 0.000 0.000

---

2.
# TbPm6Dy6 (GGA-PBE, optimized geometry)
# E_form   0.2754 eV per atom
# N(E_F)   28.0 states/eV/cell
# Calculated total energy   -57.17 eV for the cell shown
# SG   P6/mmm
data_TbPm6Dy6
_symmetry_space_group_name_H-M 'P 1'
_symmetry_Int_Tables_number 1
_cell_length_a 6.719
_cell_length_b 6.719
_cell_length_c 11.398
_cell_angle_alpha 90.00
_cell_angle_beta 90.00
_cell_angle_gamma 120.00
loop_
_symmetry_equiv_pos_as_xyz
'x,y,z'
loop_
_atom_site_label
_atom_site_type_symbol
_atom_site_fract_x
_atom_site_fract_y
_atom_site_fract_z
Pm1 Pm 0.667 0.333 0.000
Pm2 Pm 0.000 0.000 0.654
Pm3 Pm 0.667 0.333 0.500
Pm4 Pm 0.333 0.667 0.500
Pm5 Pm 0.333 0.667 0.000
Pm6 Pm 0.000 0.000 0.346
Dy1 Dy 0.500 0.000 0.247
Dy2 Dy 0.000 0.500 0.247
Dy3 Dy 0.000 0.500 0.753
Dy4 Dy 0.500 0.500 0.753
Dy5 Dy 0.500 0.500 0.247
Dy6 Dy 0.500 0.000 0.753
Tb1 Tb 0.000 0.000 0.000

---

3.
# Tb3Pm2Dy6 (GGA-PBE, optimized geometry)
# E_form   0.1843 eV per atom
# N(E_F)   18.2 states/eV/cell
# Polymorph energy (0 for the lowest one)   0.000 eV/atom
# Calculated total energy   -48.98 eV for the cell shown
# SG   C2/m
data_Tb3Pm2Dy6
_symmetry_space_group_name_H-M 'P 1'
_symmetry_Int_Tables_number 1
_cell_length_a 6.121
_cell_length_b 6.128
_cell_length_c 11.694
_cell_angle_alpha 84.93
_cell_angle_beta 79.80
_cell_angle_gamma 60.04
loop_
_symmetry_equiv_pos_as_xyz
'x,y,z'
loop_
_atom_site_label
_atom_site_type_symbol
_atom_site_fract_x
_atom_site_fract_y
_atom_site_fract_z
Dy1 Dy 0.750 0.000 0.752
Dy2 Dy 0.584 0.333 0.248
Dy3 Dy 0.917 0.667 0.248
Dy4 Dy 0.250 0.000 0.248
Dy5 Dy 0.416 0.667 0.752
Dy6 Dy 0.083 0.333 0.752
Tb1 Tb 0.665 0.670 0.000
Tb2 Tb 0.000 0.000 0.000
Tb3 Tb 0.335 0.330 0.000
Pm1 Pm 0.167 0.667 0.500
Pm2 Pm 0.833 0.333 0.500

---

- Which of these has the lowest N(E_F)?
  Tb3Pm2Dy6

---

- E_form of number 2 (TbPm6Dy6)?
  0.2754 eV per atom

---

- Among the records above, which one has the lowest E_form?
  Tb5Pm12Dy2

---

- What is the formula in the third record?
  Tb3Pm2Dy6